Entry from the Alexandria database: a geometry-optimized Cr5O7 structure (PBE+U).

Unit cell a=3.024 b=10.158 c=18.041 alpha=90.00 beta=90.00 gamma=90.00
Space group Cmcm (No. 63)
Inequivalent atoms, fractional coordinates:
Cr 0.000 0.000 0.000 [4 per cell]
Cr 0.000 0.270 0.077 [8 per cell]
Cr 0.000 0.459 0.660 [8 per cell]
O 0.000 0.097 0.600 [8 per cell]
O 0.000 0.160 0.164 [8 per cell]
O 0.000 0.350 0.534 [8 per cell]
O 0.000 0.461 0.250 [4 per cell]

Values from the calculation:
Total DFT energy (no corrections), eV/atom: -7.661
Volume, Å³ per cell: 554.1
Mass density, g/cm³: 4.46